CaZnH2Os | PBE | relaxed

Values from the calculation:
**Crystal system**: tetragonal
**VASP energy**: -14.9 eV for the cell shown
**V**: 97.35 Å³/cell
**Total moment**: 2.0 μB per cell

Lattice parameters (Å, degrees): 3.8187 3.8187 6.6760 90.00 90.00 90.00
Last column: nearest neighbours and their distance in Å.
Space group P4/mmm (No. 123)
Inequivalent atoms, fractional coordinates:
Ca 0.0000 0.0000 0.0000 (multiplicity 1)  4 Os 2.70
Zn 0.0000 0.0000 0.5000 (multiplicity 1)  4 H 1.91
H 0.0000 0.5000 0.5000 (multiplicity 2)  2 Zn 1.91
Os 0.5000 0.5000 0.0000 (multiplicity 1)  4 Ca 2.70



K2RuBr | PBE | relaxed

Values from the calculation:
**Crystal system**: cubic
**Uncorrected formation energy**: 0.44 eV/atom
**V**: 555.85 Å³/cell
**Offset from the most stable computed form**: 252 meV/atom
**Total moment**: 12.0 μB per cell

Lattice parameters (Å, degrees): 8.2222 8.2222 8.2222 90.00 90.00 90.00
Last column: nearest neighbours and their distance in Å.
Space group Fm-3m (No. 225)
Inequivalent atoms, fractional coordinates:
K 0.2500 0.2500 0.2500 (multiplicity 8)  4 Br 3.56, 4 Ru 3.56
Ru 0.0000 0.0000 0.0000 (multiplicity 4)  8 K 3.56
Br 0.0000 0.0000 0.5000 (multiplicity 4)  8 K 3.56



Y6ScIn | PBE | relaxed

Values from the calculation:
**Crystal system**: tetragonal
**E_form**: -0.928 eV per formula unit
**V**: 237.55 Å³/cell
**Total moment**: 0.0 μB per cell

Lattice parameters (Å, degrees): 4.8845 4.8845 9.9566 90.00 90.00 90.00
Last column: nearest neighbours and their distance in Å.
Space group P4/mmm (No. 123)
Inequivalent atoms, fractional coordinates:
Y 0.0000 0.0000 0.0000 (multiplicity 1)  4 In 3.45, 8 Y 3.48
Y 0.0000 0.0000 0.5000 (multiplicity 1)  4 Sc 3.45, 8 Y 3.50
Y 0.0000 0.5000 0.2484 (multiplicity 4)  8 Y 3.45-3.50, 2 In 3.48, 2 Sc 3.50
Sc 0.5000 0.5000 0.5000 (multiplicity 1)  12 Y 3.45-3.50
In 0.5000 0.5000 0.0000 (multiplicity 1)  12 Y 3.45-3.48



Hf4Te3H | PBE | relaxed

Values from the calculation:
**Crystal system**: orthorhombic
**VASP energy**: -113.3 eV for the cell shown
**V**: 412.94 Å³/cell
**Total moment**: 0.0 μB per cell

Lattice parameters (Å, degrees): 9.4799 8.8192 4.9392 90.00 90.00 90.00
Last column: nearest neighbours and their distance in Å.
Space group Pmn2_1 (No. 31)
Inequivalent atoms, fractional coordinates:
Hf 0.0000 0.0648 0.0000 (multiplicity 2)  1 H 2.19
Hf 0.0000 0.8629 0.4985 (multiplicity 2)  1 H 2.02
Hf 0.2255 0.1153 0.4987 (multiplicity 4)  1 H 2.17
Te 0.0000 0.7049 0.9989 (multiplicity 2)  4 Hf 2.83-3.05
Te 0.2085 0.3070 0.9980 (multiplicity 4)  4 Hf 2.91-3.14
H 0.0000 0.0899 0.4418 (multiplicity 2)  4 Hf 2.02-2.19



SrTlSi3 | PBE | relaxed

Values from the calculation:
**Crystal system**: cubic
**Uncorrected formation energy**: 0.84 eV/atom
**V**: 147.62 Å³/cell
**Offset from the most stable computed form**: 0 meV/atom
**Total moment**: 0.0 μB per cell

Lattice parameters (Å, degrees): 5.2851 5.2851 5.2851 90.00 90.00 90.00
Last column: nearest neighbours and their distance in Å.
Space group Pm-3m (No. 221)
Inequivalent atoms, fractional coordinates:
Sr 0.0000 0.0000 0.0000 (multiplicity 1)  12 Si 3.74
Tl 0.5000 0.5000 0.5000 (multiplicity 1)  6 Si 2.64
Si 0.0000 0.5000 0.5000 (multiplicity 3)  2 Tl 2.64



SmPu2Ru | PBE | relaxed

Values from the calculation:
**Crystal system**: trigonal
**E_form**: 0.571 eV per formula unit
**V**: 287.74 Å³/cell
**Offset from the most stable computed form**: 221 meV/atom
**Total moment**: 33.3 μB per cell

Lattice parameters (Å, degrees): 4.7358 4.7358 14.8144 90.00 90.00 120.00
Last column: nearest neighbours and their distance in Å.
Space group R-3m (No. 166, hexagonal axes)
Inequivalent atoms, fractional coordinates:
Sm 0.0000 0.0000 0.0000 (multiplicity 3)  8 Pu 3.14-3.39
Pu 0.0000 0.0000 0.2290 (multiplicity 6)  3 Ru 2.89, 3 Sm 3.14
Ru 0.0000 0.0000 0.5000 (multiplicity 3)  6 Pu 2.89



ScAgSnBr6 | PBE | relaxed

Values from the calculation:
**Crystal system**: trigonal
**Uncorrected formation energy**: -1.05 eV/atom
**V**: 566.43 Å³/cell
**Total moment**: 0.0 μB per cell

Lattice parameters (Å, degrees): 7.1092 7.1092 12.9411 90.00 90.00 120.00
Last column: nearest neighbours and their distance in Å.
Space group P-31c (No. 163)
Inequivalent atoms, fractional coordinates:
Sc 0.3333 0.6667 0.2500 (multiplicity 2)  6 Br 2.68
Ag 0.3333 0.6667 0.7500 (multiplicity 2)  6 Br 2.88
Sn 0.0000 0.0000 0.0000 (multiplicity 2)  6 Br 3.02
Br 0.0219 0.3629 0.1301 (multiplicity 12)  1 Sc 2.68, 1 Ag 2.88



BeGaC2 | PBE | relaxed

Values from the calculation:
**Crystal system**: cubic
**E_form**: 7.444 eV per formula unit
**V**: 147.52 Å³/cell
**Offset from the most stable computed form**: 875 meV/atom
**Total moment**: 0.0 μB per cell

Lattice parameters (Å, degrees): 5.2839 5.2839 5.2839 90.00 90.00 90.00
Last column: nearest neighbours and their distance in Å.
Space group Fm-3m (No. 225)
Inequivalent atoms, fractional coordinates:
Be 0.0000 0.0000 0.0000 (multiplicity 4)  8 C 2.29
Ga 0.0000 0.0000 0.5000 (multiplicity 4)  8 C 2.29
C 0.2500 0.2500 0.2500 (multiplicity 8)  4 Be 2.29, 4 Ga 2.29



K2YSe | PBE | relaxed

Values from the calculation:
**Crystal system**: tetragonal
**Uncorrected formation energy**: -0.14 eV/atom
**V**: 157.40 Å³/cell
**Total moment**: 1.5 μB per cell

Lattice parameters (Å, degrees): 3.7804 3.7804 11.0132 90.00 90.00 90.00
Last column: nearest neighbours and their distance in Å.
Space group P4/mmm (No. 123)
Inequivalent atoms, fractional coordinates:
K 0.0000 0.0000 0.1655 (multiplicity 2)  4 Se 3.24
Y 0.5000 0.5000 0.5000 (multiplicity 1)  4 Y 3.78
Se 0.5000 0.5000 0.0000 (multiplicity 1)  8 K 3.24



Sm3Dy6Cd | PBE | relaxed

Values from the calculation:
**Crystal system**: orthorhombic
**E_form**: 0.535 eV per formula unit
**V**: 1271.46 Å³/cell
**Offset from the most stable computed form**: 70 meV/atom
**Total moment**: 0.0 μB per cell

Lattice parameters (Å, degrees): 10.9691 18.9550 6.1152 90.00 90.00 90.00
Last column: nearest neighbours and their distance in Å.
Space group Cmc2_1 (No. 36)
Inequivalent atoms, fractional coordinates:
Sm 0.0000 0.1071 0.0000 (multiplicity 4)  7 Dy 3.33-3.66, 1 Cd 3.53, 2 Sm 3.71
Sm 0.1640 0.3964 0.4261 (multiplicity 8)  6 Dy 3.30-3.58, 1 Cd 3.37, 1 Sm 3.60
Dy 0.0000 0.2349 0.6251 (multiplicity 4)  2 Cd 3.06-3.42, 4 Dy 3.24-3.31, 1 Sm 3.33
Dy 0.0000 0.4439 0.9047 (multiplicity 4)  1 Cd 3.13
Dy 0.1618 0.0522 0.4825 (multiplicity 8)  5 Dy 3.40-3.74, 5 Sm 3.46-3.77
Dy 0.2249 0.2162 0.2863 (multiplicity 8)  1 Cd 3.08, 5 Dy 3.24-3.40, 1 Sm 3.30
Cd 0.0000 0.2907 0.0941 (multiplicity 4)  5 Dy 3.06-3.42, 2 Sm 3.37



YCoAu3 | PBE | relaxed

Values from the calculation:
**Crystal system**: cubic
**E_form**: 0.285 eV per formula unit
**V**: 110.24 Å³/cell
**Total moment**: 1.6 μB per cell

Lattice parameters (Å, degrees): 4.7949 4.7949 4.7949 90.00 90.00 90.00
Last column: nearest neighbours and their distance in Å.
Space group Pm-3m (No. 221)
Inequivalent atoms, fractional coordinates:
Y 0.0000 0.0000 0.0000 (multiplicity 1)  12 Au 3.39
Co 0.5000 0.5000 0.5000 (multiplicity 1)  6 Au 2.40
Au 0.0000 0.5000 0.5000 (multiplicity 3)  2 Co 2.40



Ta2ZnAu | PBE | relaxed

Values from the calculation:
**Crystal system**: tetragonal
**E_form**: -0.041 eV per formula unit
**V**: 135.95 Å³/cell
**Total moment**: 0.0 μB per cell

Lattice parameters (Å, degrees): 4.0480 4.0480 8.2969 90.00 90.00 90.00
Last column: nearest neighbours and their distance in Å.
Space group I4/mmm (No. 139)
Inequivalent atoms, fractional coordinates:
Ta 0.0000 0.5000 0.2500 (multiplicity 4)  4 Ta 2.86, 4 Zn 2.90, 4 Au 2.90
Zn 0.0000 0.0000 0.0000 (multiplicity 2)  4 Au 2.86, 8 Ta 2.90
Au 0.0000 0.0000 0.5000 (multiplicity 2)  4 Zn 2.86, 8 Ta 2.90